PBE-GGA Li2SiPd4, optimized geometry; D(E_F) = 0.281 states/eV/atom; space group = I4/mmm, No. 139; uncorrected formation energy = -3.5 eV per formula unit; V = 98.84 Å³ per cell; energy above the lowest structure with this stoichiometry = 0.000 eV/atom
1.0
-2.911 2.911 2.917
2.911 -2.911 2.917
2.911 2.911 -2.917
Li Si Pd
2 1 4
Cartesian
2.911 0.000 0.000
0.000 2.911 0.000
0.000 0.000 0.000
1.455 1.455 -1.458
1.455 -1.455 1.458
-1.455 1.455 1.458
1.455 1.455 1.458

---

PBE-GGA Pm2HfWN5, optimized geometry; D(E_F) = 0.408 states/eV/atom; space group = Cmc2_1, No. 36; uncorrected formation energy = -11.1 eV per formula unit; V = 243.18 Å³ per cell
1.0
1.696 -6.747 0.000
1.696 6.747 0.000
0.000 0.000 10.624
Pm Hf W N
4 2 2 10
Cartesian
1.696 5.273 5.312
1.696 4.727 1.113
1.696 -4.727 6.426
1.696 -5.273 0.000
1.696 3.803 8.736
1.696 -3.803 3.424
1.696 0.333 2.813
1.696 -0.333 8.125
1.696 6.111 9.044
1.696 2.949 4.884
1.696 2.405 2.039
1.696 1.698 8.603
1.696 0.145 6.310
1.696 -0.145 0.998
1.696 -1.698 3.291
1.696 -2.405 7.351
1.696 -2.949 10.196
1.696 -6.111 3.731

---

PBE-GGA Mg2ZnFeBi, optimized geometry; D(E_F) = 1.251 states/eV/atom; space group = P4/mmm, No. 123; calculated formation energy = 0.7867 eV/atom; V = 129.81 Å³ per cell
1.0
4.880 0.000 0.000
0.000 4.880 0.000
0.000 0.000 5.452
Mg Zn Fe Bi
2 1 1 1
Cartesian
0.000 2.440 0.000
2.440 0.000 0.000
0.000 0.000 0.000
2.440 2.440 2.726
0.000 0.000 2.726

---

PBE-GGA SrZnOs2, optimized geometry; D(E_F) = 0.663 states/eV/atom; space group = Imm2, No. 44; calculated formation energy = 0.7187 eV/atom; V = 76.81 Å³ per cell
1.0
-1.460 2.554 5.148
1.460 -2.554 5.148
1.460 2.554 -5.148
Sr Zn Os
1 1 2
Cartesian
0.000 0.000 0.000
1.460 0.000 3.032
0.000 0.000 5.299
0.000 2.554 2.214

---

PBE-GGA Ba2FeHg, optimized geometry; D(E_F) = 1.726 states/eV/atom; space group = C2/m, No. 12; calculated formation energy = 0.3424 eV/atom; V = 153.18 Å³ per cell
1.0
4.110 -2.096 0.000
4.110 2.096 0.000
-2.073 0.000 8.890
Ba Fe Hg
2 1 1
Cartesian
1.546 0.000 1.970
4.599 0.000 6.919
4.110 0.000 0.000
-1.037 0.000 4.445

---

PBE-GGA Pr2Dy6Ho3Pb, optimized geometry; D(E_F) = 1.086 states/eV/atom; space group = C2/m, No. 12; calculated formation energy = -0.0673 eV/atom; V = 375.46 Å³ per cell
1.0
3.055 -5.294 0.000
3.055 5.294 0.000
-2.045 0.000 11.609
Pr Dy Ho Pb
2 6 3 1
Cartesian
3.055 3.535 0.000
3.055 -3.535 0.000
0.018 1.729 8.683
1.054 0.000 2.939
0.018 -1.729 8.683
4.047 1.729 2.926
3.010 0.000 8.670
4.047 -1.729 2.926
-1.022 0.000 5.805
2.032 1.773 5.805
2.032 -1.773 5.805
3.055 0.000 0.000

---

PBE-GGA Sm4HoTh2, optimized geometry; D(E_F) = 2.182 states/eV/atom; space group = I4/mmm, No. 139; calculated formation energy = 0.7852 eV/atom; V = 266.74 Å³ per cell; energy above the lowest structure with this stoichiometry = 0.425 eV/atom
1.0
-2.824 2.824 8.364
2.824 -2.824 8.364
2.824 2.824 -8.364
Sm Ho Th
4 1 2
Cartesian
2.824 0.000 0.000
0.000 0.000 3.115
0.000 2.824 0.000
0.000 0.000 13.613
0.000 0.000 0.000
0.000 0.000 6.522
0.000 0.000 10.205

---

PBE-GGA Li2TlCr, optimized geometry; D(E_F) = 0.479 states/eV/atom; space group = I4/mmm, No. 139; calculated formation energy = 0.1754 eV/atom; V = 72.05 Å³ per cell
1.0
-2.084 2.084 4.149
2.084 -2.084 4.149
2.084 2.084 -4.149
Li Tl Cr
2 1 1
Cartesian
2.084 0.000 2.074
0.000 2.084 2.074
0.000 0.000 0.000
0.000 0.000 4.149

---

PBE-GGA BaPr2Cd2In2, optimized geometry; D(E_F) = 0.486 states/eV/atom; space group = R-3m, No. 166; calculated formation energy = -0.3316 eV/atom; V = 228.34 Å³ per cell
1.0
2.542 1.468 10.199
-2.542 1.468 10.199
0.000 -2.936 10.199
Ba Pr Cd In
1 2 2 2
Cartesian
0.000 0.000 0.000
0.000 0.000 4.022
0.000 0.000 26.575
0.000 0.000 12.762
0.000 0.000 17.835
0.000 0.000 7.669
0.000 0.000 22.928

---

PBE-GGA SrZr2Zn, optimized geometry; D(E_F) = 0.862 states/eV/atom; space group = Cm, No. 8; calculated formation energy = 0.2498 eV/atom; V = 107.51 Å³ per cell
1.0
5.183 -1.661 0.000
5.183 1.661 0.000
-1.297 0.000 6.246
Sr Zr Zn
1 2 1
Cartesian
0.000 0.000 0.000
1.417 0.000 3.904
4.254 0.000 3.107
7.467 0.000 1.706

---

PBE-GGA Mg2Cu2Ni, optimized geometry; D(E_F) = 0.554 states/eV/atom; space group = I4/mmm, No. 139; calculated formation energy = 0.4637 eV/atom; V = 83.02 Å³ per cell; energy above the lowest structure with this stoichiometry = 0.472 eV/atom
1.0
-1.935 1.935 5.542
1.935 -1.935 5.542
1.935 1.935 -5.542
Mg Cu Ni
2 2 1
Cartesian
1.935 0.000 2.771
0.000 1.935 2.771
0.000 0.000 1.104
0.000 0.000 9.980
0.000 0.000 5.542

---

PBE-GGA MgRuAu2, optimized geometry; D(E_F) = 0.983 states/eV/atom; space group = Pmmm, No. 47; calculated formation energy = 0.0112 eV/atom; V = 67.33 Å³ per cell
1.0
2.860 0.000 0.000
0.000 4.027 0.000
0.000 0.000 5.846
Mg Ru Au
1 1 2
Cartesian
0.000 0.000 0.000
0.000 0.000 2.923
1.430 2.014 1.480
1.430 2.014 4.366

---

PBE-GGA KSr3Bi, optimized geometry; D(E_F) = 1.193 states/eV/atom; space group = Pm-3m, No. 221; calculated formation energy = 0.6570 eV/atom; V = 267.83 Å³ per cell; energy above the lowest structure with this stoichiometry = 0.930 eV/atom
1.0
6.446 0.000 0.000
0.000 6.446 0.000
0.000 0.000 6.446
K Sr Bi
1 3 1
Cartesian
0.000 0.000 0.000
0.000 0.000 3.223
0.000 3.223 0.000
3.223 0.000 0.000
3.223 3.223 3.223

---

PBE-GGA CrMo2Os, optimized geometry; D(E_F) = 1.198 states/eV/atom; space group = C2/m, No. 12; calculated formation energy = 0.1755 eV/atom; V = 58.46 Å³ per cell; energy above the lowest structure with this stoichiometry = 0.059 eV/atom
1.0
2.654 -4.321 0.000
2.654 4.321 0.000
-0.889 0.000 2.549
Cr Mo Os
1 2 1
Cartesian
0.000 0.000 0.000
0.883 2.160 1.274
0.883 -2.160 1.274
2.654 0.000 0.000

---

PBE-GGA Ac3Ge2Ru2, optimized geometry; D(E_F) = 0.842 states/eV/atom; space group = Immm, No. 71; calculated formation energy = -0.4843 eV/atom; V = 189.75 Å³ per cell
1.0
-2.226 2.316 9.200
2.226 -2.316 9.200
2.226 2.316 -9.200
Ac Ge Ru
3 2 2
Cartesian
0.000 0.000 0.000
2.226 0.000 3.318
0.000 2.316 5.881
2.226 0.000 6.748
0.000 2.316 2.452
0.000 0.000 8.012
0.000 0.000 10.387

---

PBE-GGA VRe3, optimized geometry; D(E_F) = 1.203 states/eV/atom; space group = Pm-3m, No. 221; calculated formation energy = 0.0544 eV/atom; V = 58.99 Å³ per cell; energy above the lowest structure with this stoichiometry = 0.137 eV/atom
1.0
3.893 0.000 0.000
0.000 3.893 0.000
0.000 0.000 3.893
V Re
1 3
Cartesian
0.000 0.000 0.000
0.000 1.946 1.946
1.946 0.000 1.946
1.946 1.946 0.000

---

PBE-GGA CsSrBi, optimized geometry; D(E_F) = 0.000 states/eV/atom; space group = P1, No. 1; calculated formation energy = -0.4777 eV/atom; V = 330.12 Å³ per cell
1.0
5.749 0.000 0.000
0.000 6.513 0.000
0.058 1.840 8.817
Cs Sr Bi
2 2 2
Cartesian
0.000 0.000 0.000
0.063 6.502 4.535
2.940 5.047 8.125
2.934 3.134 3.461
0.058 3.252 1.698
2.935 1.803 6.440

---

PBE-GGA LiTeCl2, optimized geometry; D(E_F) = 0.523 states/eV/atom; space group = Cmmm, No. 65; uncorrected formation energy = -2.7 eV per formula unit; V = 95.43 Å³ per cell; energy above the lowest structure with this stoichiometry = 0.274 eV/atom
1.0
1.662 -3.401 0.000
1.662 3.401 0.000
0.000 0.000 8.442
Li Te Cl
1 1 2
Cartesian
0.000 0.000 0.000
0.000 0.000 4.221
1.662 0.000 1.708
1.662 0.000 6.734

---

PBE-GGA ZrAs2Ru, optimized geometry; D(E_F) = 0.830 states/eV/atom; space group = P4/mmm, No. 123; calculated formation energy = -0.4711 eV/atom; V = 66.72 Å³ per cell; energy above the lowest structure with this stoichiometry = 0.134 eV/atom
1.0
4.556 0.000 0.000
0.000 4.556 0.000
0.000 0.000 3.214
Zr As Ru
1 2 1
Cartesian
0.000 0.000 0.000
0.000 2.278 1.607
2.278 0.000 1.607
2.278 2.278 0.000

---

PBE-GGA HfNb3Ga, optimized geometry; D(E_F) = 1.184 states/eV/atom; space group = Pm-3m, No. 221; calculated formation energy = 1.5675 eV/atom; V = 118.62 Å³ per cell; energy above the lowest structure with this stoichiometry = 0.706 eV/atom
1.0
4.913 0.000 0.000
0.000 4.913 0.000
0.000 0.000 4.913
Hf Nb Ga
1 3 1
Cartesian
0.000 0.000 0.000
0.000 0.000 2.457
0.000 2.457 0.000
2.457 0.000 0.000
2.457 2.457 2.457